## a
{"formula": "InGaH2", "functional": "PBE-GGA", "state": "relaxed", "lattice_angstrom": [[4.720, 0.000, 0.000], [0.000, 4.720, 0.000], [2.360, 2.360, 5.433]], "species": ["H", "In", "In", "Ga", "Ga", "H", "H", "H"], "fractional_positions": [[0.379, 0.125, 0.250], [0.750, 0.250, 0.500], [0.000, 0.000, 0.000], [0.500, 0.500, 0.000], [0.250, 0.750, 0.500], [0.375, 0.621, 0.750], [0.371, 0.625, 0.250], [0.875, 0.629, 0.750]], "n_ef_per_ev_cell": 1.62, "vol_a3_per_fu": 61}

***

## b
{"formula": "InGaH2", "functional": "PBE-GGA", "state": "relaxed", "lattice_angstrom": [[1.422, 0.329, 3.991], [0.535, 3.832, 1.756], [-2.613, 1.307, 3.086]], "species": ["Ga", "H", "In", "H"], "fractional_positions": [[0.000, 0.000, 0.000], [0.750, 0.750, 0.750], [0.500, 0.500, 0.500], [0.250, 0.250, 0.250]], "n_ef_per_ev_cell": 0.86, "vol_a3_per_fu": 54}

***

Tell me which of them is the least stable. Sure, it is b.

***

## a
{"formula": "InGaH", "functional": "PBE-GGA", "state": "relaxed", "lattice_angstrom": [[4.974, -0.152, 0.168], [-0.080, 4.266, 1.580], [-0.440, 2.575, 5.994]], "species": ["H", "In", "In", "Ga", "H", "Ga"], "fractional_positions": [[0.565, 0.823, 0.434], [0.943, 0.531, 0.720], [0.057, 0.469, 0.280], [0.444, 0.138, 0.111], [0.435, 0.177, 0.566], [0.556, 0.862, 0.889]], "n_ef_per_ev_cell": 0.84, "vol_a3_per_fu": 54}

***

## b
{"formula": "InGaH", "functional": "PBE-GGA", "state": "relaxed", "lattice_angstrom": [[4.287, 1.220, 0.363], [3.177, 4.090, 0.574], [1.167, 1.199, 8.096]], "species": ["Ga", "H", "Ga", "In", "In", "H"], "fractional_positions": [[0.687, 0.734, 0.403], [0.773, 0.329, 0.215], [0.693, 0.917, 0.030], [0.694, 0.511, 0.840], [0.682, 0.143, 0.593], [0.609, 0.319, 0.218]], "n_ef_per_ev_cell": 1.24, "vol_a3_per_fu": 54}

***

Tell me which of them is the least stable. Sure, it is a.

***

## a
{"formula": "In2GaH", "functional": "PBE-GGA", "state": "relaxed", "lattice_angstrom": [[-0.583, -4.632, 1.002], [-4.094, -1.530, 1.922], [-3.015, -2.643, -2.594]], "species": ["In", "Ga", "H", "In"], "fractional_positions": [[0.750, 0.750, 0.750], [0.500, 0.500, 0.500], [0.000, 0.000, 0.000], [0.250, 0.250, 0.250]], "n_ef_per_ev_cell": 1.74, "vol_a3_per_fu": 77}

***

## b
{"formula": "In2GaH", "functional": "PBE-GGA", "state": "relaxed", "lattice_angstrom": [[-4.957, -1.438, 0.321], [1.341, -3.937, 3.074], [-2.589, 1.188, 7.001]], "species": ["In", "In", "Ga", "In", "H", "In", "Ga", "H"], "fractional_positions": [[0.221, 0.625, 0.250], [0.875, 0.779, 0.750], [0.750, 0.250, 0.500], [0.375, 0.471, 0.750], [0.250, 0.750, 0.500], [0.529, 0.125, 0.250], [0.000, 0.000, 0.000], [0.500, 0.500, 0.000]], "n_ef_per_ev_cell": 3.20, "vol_a3_per_fu": 88}

***

Tell me which of them is the least stable. Sure, it is a.